Below is crystalline Tb6Ho12Sc at its relaxed geometry, with properties calculated at the GGA-PBE level.

- symmetry = R-3m (166)
- excess energy over the best structure of this formula in the dataset (eV per formula unit) = 4.08
- DFT formation energy (eV per formula unit) = 7.1
- energy (eV per atom) = -4.3154
- magnetic moment (μB per formula unit) = 0.0

abc: 9.797 9.797 9.797
angles: 112.49 112.49 112.49
Positions (direct):
Tb 0.136 0.819 0.819
Tb 0.181 0.181 0.864
Tb 0.181 0.864 0.181
Tb 0.819 0.136 0.819
Tb 0.819 0.819 0.136
Tb 0.864 0.181 0.181
Ho 0.000 0.383 0.617
Ho 0.000 0.617 0.383
Ho 0.262 0.262 0.577
Ho 0.262 0.577 0.262
Ho 0.383 0.000 0.617
Ho 0.383 0.617 0.000
Ho 0.423 0.738 0.738
Ho 0.577 0.262 0.262
Ho 0.617 0.000 0.383
Ho 0.617 0.383 0.000
Ho 0.738 0.423 0.738
Ho 0.738 0.738 0.423
Sc 0.500 0.500 0.500